{
  "formula": "NaLaAl3",
  "functional": "PBE-GGA",
  "state": "relaxed",
  "ef_ev_per_atom": 0.907,
  "dft_energy_ev_per_atom": -2.5883,
  "volume_a3_per_cell": 196.1,
  "lattice_angstrom": [[5.809, 0.000, 0.000], [0.000, 5.809, 0.000], [0.000, 0.000, 5.809]],
  "species": ["Na", "La", "Al", "Al", "Al"],
  "frac_coords": [[0.000, 0.000, 0.000], [0.500, 0.500, 0.500], [0.000, 0.500, 0.500], [0.500, 0.000, 0.500], [0.500, 0.500, 0.000]]
}